VASP calculation (GGA-PBE) on a relaxed structure of TlH3S.

```
TlH3S
1.0
3.9904 0.0000 0.0000
0.0000 3.9904 0.0000
0.0000 0.0000 3.9904
Tl H S
1 3 1
Cartesian
0.0000 0.0000 0.0000 Tl
0.0000 0.0000 1.9952 H
0.0000 1.9952 0.0000 H
1.9952 0.0000 0.0000 H
1.9952 1.9952 1.9952 S
```

Calculated values
Energy above the most stable polymorph in this dataset, eV/f.u.: 5.71
N(E_F), states/eV/f.u.: 2.94
Total magnetization, μB/atom: 0.3247